First-principles (PBE-GGA) data for a relaxed RbDy2Ni crystal, as listed in Alexandria via LeMat-Bulk.

a = 11.377 Å, b = 11.377 Å, c = 11.377 Å
α = 20.46°, β = 20.46°, γ = 20.46°
Positions (direct):
Rb: 0.000 0.000 0.000
Dy: 0.126 0.126 0.126
Dy: 0.874 0.874 0.874
Ni: 0.500 0.500 0.500

Output
Mass density = 4.95 g cm⁻³
E_form = 0.0372 eV/atom



First-principles (PBE-GGA) data for a relaxed Nb2SiC2 crystal, as listed in Alexandria via LeMat-Bulk.

a = 6.156 Å, b = 6.156 Å, c = 3.042 Å
α = 90.00°, β = 90.00°, γ = 90.00°
Positions (direct):
Nb: 0.157 0.343 0.000
Nb: 0.343 0.843 0.000
Nb: 0.657 0.157 0.000
Nb: 0.843 0.657 0.000
Si: 0.000 0.000 0.500
Si: 0.500 0.500 0.500
C: 0.143 0.643 0.500
C: 0.357 0.143 0.500
C: 0.643 0.857 0.500
C: 0.857 0.357 0.500

Output
Mass density = 6.86 g cm⁻³
Energy above the most stable polymorph in this dataset = 84 meV per atom



First-principles (PBE-GGA) data for a relaxed TaAl2Au2 crystal, as listed in Alexandria via LeMat-Bulk.

a = 7.442 Å, b = 7.442 Å, c = 3.026 Å
α = 90.00°, β = 90.00°, γ = 90.00°
Positions (direct):
Ta: 0.000 0.000 0.000
Ta: 0.500 0.500 0.000
Al: 0.140 0.360 0.000
Al: 0.360 0.860 0.000
Al: 0.640 0.140 0.000
Al: 0.860 0.640 0.000
Au: 0.159 0.659 0.500
Au: 0.341 0.159 0.500
Au: 0.659 0.841 0.500
Au: 0.841 0.341 0.500

Output
Mass density = 12.46 g cm⁻³
E_form = -0.1382 eV/atom
Energy above the most stable polymorph in this dataset = 0 meV per atom



First-principles (PBE-GGA) data for a relaxed CdInSn2H crystal, as listed in Alexandria via LeMat-Bulk.

a = 4.676 Å, b = 4.676 Å, c = 5.063 Å
α = 90.00°, β = 90.00°, γ = 90.00°
Positions (direct):
Cd: 0.000 0.000 0.000
In: 0.500 0.500 0.000
Sn: 0.000 0.500 0.500
Sn: 0.500 0.000 0.500
H: 0.500 0.500 0.500

Output
Mass density = 6.99 g cm⁻³



no.,uncorrected energy (eV for the cell shown)
1,-15.8
2,-85.2
3,-53.2
4,-13.8